Record 1
A plane-wave DFT calculation with PBEsol was carried out for CsLiPt2 after structural relaxation.

Formation enthalpy at 0 K: 636 meV per atom
E: -3.57 eV/atom

Unit cell a=4.8308 b=4.8308 c=4.8308 alpha=60.00 beta=60.00 gamma=60.00
Positions (direct):
Li 0.0000 0.0000 0.0000
Pt 0.2500 0.2500 0.2500
Pt 0.7500 0.7500 0.7500
Cs 0.5000 0.5000 0.5000

---

Record 2
A plane-wave DFT calculation with PBEsol was carried out for SrCaNiWO6 after structural relaxation.

Uncorrected formation energy: -2.3250 eV/atom
E: -7.87 eV/atom

Unit cell a=5.4633 b=5.5263 c=7.7238 alpha=90.00 beta=90.08 gamma=90.00
Positions (direct):
W 0.5000 0.2511 0.9993
O 0.0578 0.7698 0.7440
O 0.4178 0.2625 0.7565
Ca 0.4900 0.7967 0.2529
O 0.2848 0.5495 0.4595
Ni 0.9998 0.7474 0.0003
O 0.9178 0.7375 0.2565
Sr 0.0047 0.2778 0.2495
O 0.7848 0.4505 0.9595
O 0.3036 0.5346 0.0420
Ni 0.4998 0.2526 0.5003
O 0.7146 0.9779 0.9660
W 0.0000 0.7489 0.4993
Sr 0.5047 0.7222 0.7495
O 0.2146 0.0221 0.4660
Ca 0.9900 0.2033 0.7529
O 0.7269 0.9650 0.5300
O 0.5578 0.2302 0.2440
O 0.8036 0.4654 0.5420
O 0.2269 0.0350 0.0300

---

Record 3
A plane-wave DFT calculation with PBEsol was carried out for Fe3RhC after structural relaxation.

Formation enthalpy at 0 K: 109 meV per atom
E: -8.83 eV/atom

Unit cell a=3.7510 b=3.7510 c=3.7510 alpha=90.00 beta=90.00 gamma=90.00
Positions (direct):
C 0.0000 0.0000 0.0000
Rh 0.5000 0.5000 0.5000
Fe 0.0000 0.0000 0.5000
Fe 0.5000 0.0000 0.0000
Fe 0.0000 0.5000 0.0000